Record 1
{"formula": "Cs2Tl2Au3", "functional": "PBE", "state": "relaxed", "lattice": [[1.749, 7.964, 1.383], [-0.812, -1.207, 7.978], [8.871, 1.360, 1.108]], "species": ["Au", "Au", "Cs", "Tl", "Au", "Cs", "Tl", "Tl", "Cs", "Au", "Au", "Tl", "Au", "Cs"], "frac_coords": [[0.567, 0.094, 0.778], [0.567, 0.406, 0.278], [0.215, 0.151, 0.600], [0.321, 0.655, 0.457], [0.000, 0.500, 0.500], [0.215, 0.349, 0.100], [0.679, 0.155, 0.043], [0.321, 0.845, 0.957], [0.785, 0.849, 0.400], [0.000, 0.000, 0.000], [0.433, 0.594, 0.722], [0.679, 0.345, 0.543], [0.433, 0.906, 0.222], [0.785, 0.651, 0.900]], "vol_a3_per_atom": 40.19, "mass_density_g_cm3": 7.47, "ef_mev_per_atom": -187, "e_above_lowest_polymorph_kj_per_mol_atoms": 0.0, "crystal_system": "monoclinic", "spacegroup": "No. 14"}

Record 2
{"formula": "BeOsRh", "functional": "PBE", "state": "relaxed", "lattice": [[6.496, 0.005, -0.003], [5.708, 2.537, 0.004], [0.788, -1.019, 2.318]], "species": ["Rh", "Os", "Be"], "frac_coords": [[0.651, 0.651, 0.349], [0.346, 0.346, 0.654], [0.003, 0.003, 0.997]], "vol_a3_per_atom": 12.73, "mass_density_g_cm3": 13.14, "ef_mev_per_atom": 125, "e_above_lowest_polymorph_kj_per_mol_atoms": 28.8, "crystal_system": "orthorhombic", "spacegroup": "No. 42"}

Record 3
{"formula": "K2ErTeS4", "functional": "PBE", "state": "relaxed", "lattice": [[8.223, 0.000, 0.235], [-0.006, 8.223, 0.235], [-3.841, -3.843, 6.110]], "species": ["S", "S", "K", "S", "K", "S", "S", "K", "Te", "Er", "S", "Er", "K", "Te", "S", "S"], "frac_coords": [[0.774, 0.309, 0.560], [0.263, 0.295, 0.512], [0.500, 0.000, 0.500], [0.795, 0.763, 0.012], [0.000, 0.000, 0.500], [0.205, 0.237, 0.988], [0.191, 0.726, 0.940], [0.500, 0.000, 0.000], [0.500, 0.500, 0.500], [0.000, 0.500, 0.000], [0.809, 0.274, 0.060], [0.000, 0.500, 0.500], [0.500, 0.500, 0.000], [0.000, 0.000, 0.000], [0.226, 0.691, 0.440], [0.737, 0.705, 0.488]], "vol_a3_per_atom": 26.75, "mass_density_g_cm3": 3.89, "e_form_raw_ev_per_atom": -1.118, "crystal_system": "monoclinic", "spacegroup": "No. 15"}

Record 4
{"formula": "DySO", "functional": "PBE", "state": "relaxed", "lattice": [[3.829, 0.000, 0.000], [1.915, 3.316, 0.000], [1.915, 1.105, 8.491]], "species": ["S", "Dy", "O", "S", "Dy", "O"], "frac_coords": [[0.872, 0.872, 0.385], [0.277, 0.277, 0.169], [0.367, 0.367, 0.900], [0.128, 0.128, 0.615], [0.723, 0.723, 0.831], [0.633, 0.633, 0.100]], "vol_a3_per_atom": 17.97, "mass_density_g_cm3": 6.49, "e_form_raw_ev_per_atom": -2.204, "crystal_system": "trigonal", "spacegroup": "No. 166"}

Record 5
{"formula": "Sb2AsPb", "functional": "PBE", "state": "relaxed", "lattice": [[-3.537, 6.689, 1.440], [-4.677, 5.587, -2.498], [-6.625, 3.838, 0.843]], "species": ["Pb", "As", "Sb", "Sb"], "frac_coords": [[0.750, 0.750, 0.750], [0.250, 0.250, 0.250], [0.509, 0.509, 0.509], [0.991, 0.991, 0.991]], "vol_a3_per_atom": 28.48, "mass_density_g_cm3": 7.66, "e_form_raw_ev_per_atom": 0.102, "e_above_lowest_polymorph_kj_per_mol_atoms": 7.5, "crystal_system": "trigonal", "spacegroup": "No. 166"}

Record 6
{"formula": "TmPaTlAu", "functional": "PBE", "state": "relaxed", "lattice": [[5.223, 0.000, 0.000], [2.612, 4.523, 0.000], [2.612, 1.508, 4.265]], "species": ["Au", "Tl", "Pa", "Tm"], "frac_coords": [[0.250, 0.250, 0.250], [0.750, 0.750, 0.750], [0.500, 0.500, 0.500], [0.000, 0.000, 0.000]], "vol_a3_per_atom": 25.19, "mass_density_g_cm3": 13.21, "ef_mev_per_atom": -140, "crystal_system": "cubic", "spacegroup": "No. 216"}

Record 7
{"formula": "Ca2AlSe", "functional": "PBE", "state": "relaxed", "lattice": [[3.969, -0.020, 0.014], [2.002, 3.427, 0.014], [1.957, 1.117, 8.453]], "species": ["Ca", "Ca", "Al", "Se"], "frac_coords": [[0.987, 0.987, 0.038], [0.513, 0.513, 0.462], [0.750, 0.750, 0.750], [0.250, 0.250, 0.250]], "vol_a3_per_atom": 28.80, "mass_density_g_cm3": 2.68, "e_form_raw_ev_per_atom": -0.883, "e_above_lowest_polymorph_kj_per_mol_atoms": 0.0, "crystal_system": "trigonal", "spacegroup": "No. 166"}

Record 8
{"formula": "Ag4BiF8", "functional": "PBE", "state": "relaxed", "lattice": [[6.422, 0.476, 3.171], [2.168, 6.064, 3.171], [0.625, 0.476, 7.135]], "species": ["F", "F", "F", "Ag", "F", "F", "Ag", "Bi", "F", "Ag", "Ag", "F", "F"], "frac_coords": [[0.282, 0.282, 0.282], [0.730, 0.280, 0.730], [0.730, 0.730, 0.280], [0.500, 0.500, 0.000], [0.270, 0.270, 0.720], [0.280, 0.730, 0.730], [0.500, 0.000, 0.500], [0.500, 0.500, 0.500], [0.720, 0.270, 0.270], [0.000, 0.500, 0.500], [0.000, 0.000, 0.000], [0.270, 0.720, 0.270], [0.718, 0.718, 0.718]], "vol_a3_per_atom": 19.46, "mass_density_g_cm3": 5.20, "e_form_raw_ev_per_atom": -1.401, "crystal_system": "trigonal", "spacegroup": "No. 166"}

Record 9
{"formula": "CaSi2Rh", "functional": "PBE", "state": "relaxed", "lattice": [[0.350, 5.862, -0.437], [1.062, 4.139, -4.052], [-2.749, 4.469, -2.672]], "species": ["Si", "Rh", "Si", "Ca"], "frac_coords": [[0.288, 0.288, 0.288], [0.681, 0.681, 0.681], [0.038, 0.038, 0.038], [0.493, 0.493, 0.493]], "vol_a3_per_atom": 19.34, "mass_density_g_cm3": 4.28, "e_form_raw_ev_per_atom": -0.637, "crystal_system": "trigonal", "spacegroup": "No. 160"}

Record 10
{"formula": "Np2Ni3As4Rh", "functional": "PBE", "state": "relaxed", "lattice": [[-1.483, -2.490, -3.040], [3.854, -0.288, -1.644], [1.726, -7.592, 5.376]], "species": ["Rh", "As", "As", "As", "Ni", "Np", "Ni", "As", "Ni", "Np"], "frac_coords": [[0.500, 0.500, 0.500], [0.500, 0.000, 0.641], [0.500, 0.500, 0.000], [0.000, 0.500, 0.359], [0.000, 0.000, 0.500], [0.500, 0.000, 0.245], [0.500, 0.000, 0.885], [0.000, 0.000, 0.000], [0.000, 0.500, 0.115], [0.000, 0.500, 0.755]], "vol_a3_per_atom": 16.69, "mass_density_g_cm3": 10.47, "ef_mev_per_atom": -510, "crystal_system": "tetragonal", "spacegroup": "No. 115"}

Record 11
{"formula": "KSr2Hg2", "functional": "PBE", "state": "relaxed", "lattice": [[9.269, 0.000, 0.000], [0.000, 9.269, 0.000], [0.000, 0.000, 4.394]], "species": ["Hg", "Sr", "Sr", "K", "Hg", "K", "Hg", "Sr", "Hg", "Sr"], "frac_coords": [[0.360, 0.860, 0.000], [0.348, 0.152, 0.500], [0.152, 0.652, 0.500], [0.000, 0.000, 0.000], [0.140, 0.360, 0.000], [0.500, 0.500, 0.000], [0.640, 0.140, 0.000], [0.848, 0.348, 0.500], [0.860, 0.640, 0.000], [0.652, 0.848, 0.500]], "vol_a3_per_atom": 37.75, "mass_density_g_cm3": 5.41, "ef_mev_per_atom": -357, "e_above_lowest_polymorph_kj_per_mol_atoms": 0.0, "crystal_system": "tetragonal", "spacegroup": "No. 127"}

Record 12
{"formula": "In3Ge5Br12", "functional": "PBE", "state": "relaxed", "lattice": [[15.597, 0.000, 0.000], [-5.199, 14.705, 0.000], [-5.199, -7.353, 12.735]], "species": ["In", "Br", "Ge", "Br", "Br", "Br", "Br", "Ge", "In", "Br", "Br", "Ge", "Br", "Br", "Ge", "Br", "Br", "Ge", "Br", "Br", "Ge", "Ge", "Br", "Br", "In", "Br", "Br", "Br", "Br", "Br", "Br", "Br", "Br", "Br", "Br", "In", "Ge", "Br", "Br", "Br", "Br", "Ge", "Ge", "In", "Br", "Ge", "Ge", "Br", "Ge", "Br", "In", "Br", "In", "Br", "Ge", "In", "Br", "Ge", "Ge", "Ge", "Br", "Br", "Br", "In", "Br", "Br", "Br", "In", "Br", "In", "In", "Ge", "Br", "Br", "Br", "Br", "Br", "Br", "Ge", "Ge"], "frac_coords": [[0.250, 0.625, 0.875], [0.614, 0.590, 0.914], [0.250, 0.875, 0.125], [0.886, 0.586, 0.910], [0.524, 0.323, 0.910], [0.323, 0.524, 0.410], [0.414, 0.114, 0.590], [0.875, 0.625, 0.750], [0.250, 0.125, 0.375], [0.910, 0.823, 0.524], [0.090, 0.177, 0.476], [0.500, 0.000, 0.500], [0.410, 0.024, 0.323], [0.886, 0.299, 0.476], [0.125, 0.750, 0.375], [0.201, 0.677, 0.086], [0.677, 0.476, 0.590], [0.500, 0.000, 0.000], [0.701, 0.586, 0.177], [0.386, 0.410, 0.086], [0.750, 0.125, 0.875], [0.000, 0.500, 0.500], [0.914, 0.823, 0.799], [0.410, 0.386, 0.586], [0.375, 0.625, 0.250], [0.386, 0.976, 0.799], [0.114, 0.414, 0.090], [0.476, 0.677, 0.090], [0.590, 0.614, 0.414], [0.590, 0.976, 0.677], [0.114, 0.701, 0.524], [0.823, 0.910, 0.024], [0.476, 0.799, 0.886], [0.614, 0.024, 0.201], [0.976, 0.386, 0.299], [0.625, 0.375, 0.750], [0.875, 0.250, 0.625], [0.914, 0.090, 0.614], [0.090, 0.914, 0.114], [0.086, 0.910, 0.386], [0.586, 0.701, 0.677], [0.000, 0.500, 0.000], [0.625, 0.875, 0.250], [0.125, 0.875, 0.750], [0.177, 0.090, 0.976], [0.000, 0.000, 0.000], [0.500, 0.500, 0.000], [0.299, 0.414, 0.823], [0.625, 0.750, 0.875], [0.976, 0.590, 0.177], [0.750, 0.875, 0.625], [0.414, 0.299, 0.323], [0.750, 0.375, 0.125], [0.823, 0.914, 0.299], [0.375, 0.125, 0.750], [0.875, 0.125, 0.250], [0.586, 0.886, 0.410], [0.125, 0.375, 0.250], [0.250, 0.375, 0.625], [0.000, 0.000, 0.500], [0.677, 0.201, 0.586], [0.201, 0.524, 0.614], [0.799, 0.323, 0.914], [0.625, 0.250, 0.375], [0.910, 0.086, 0.886], [0.299, 0.886, 0.976], [0.524, 0.201, 0.114], [0.125, 0.250, 0.875], [0.024, 0.410, 0.823], [0.375, 0.750, 0.625], [0.875, 0.750, 0.125], [0.750, 0.625, 0.375], [0.799, 0.476, 0.386], [0.086, 0.177, 0.201], [0.323, 0.799, 0.414], [0.024, 0.614, 0.701], [0.701, 0.114, 0.024], [0.177, 0.086, 0.701], [0.500, 0.500, 0.500], [0.375, 0.250, 0.125]], "vol_a3_per_atom": 36.51, "mass_density_g_cm3": 3.79, "e_form_raw_ev_per_atom": -0.448, "crystal_system": "cubic", "spacegroup": "No. 230"}